1.
Crystalline LiY2Be at its relaxed geometry, computed with PBE.

```
LiY2Be
1.0
4.4843 0.0014 -0.0068
3.1688 3.1729 -0.0068
1.1069 0.4591 7.0580
Y Li Be
2 1 1
direct
0.5166 0.5166 0.4545
0.9834 0.9834 0.0455
0.7500 0.7500 0.7500
0.2500 0.2500 0.2500
```

* DOS at the Fermi energy: 1.13 states/eV/atom


2.
Crystalline LiY4Be at its relaxed geometry, computed with PBE.

```
LiY4Be
1.0
-3.1267 -3.9537 3.8277
-6.0841 1.0754 1.3737
-4.4925 -3.7886 -2.3502
Be Y Li
1 4 1
direct
0.7500 0.7500 0.7500
0.3760 0.8719 0.3760
0.8719 0.3760 0.3760
0.3760 0.3760 0.8719
0.3760 0.3760 0.3760
0.0000 0.0000 0.0000
```

* DOS at the Fermi energy: 1.02 states/eV/atom


3.
Crystalline LiY2Be at its relaxed geometry, computed with PBE.

```
LiY2Be
1.0
5.0145 0.0000 0.0000
2.5072 4.3427 0.0000
2.5072 1.4476 4.0943
Y Li Be
2 1 1
direct
0.2500 0.2500 0.2500
0.0000 0.0000 0.0000
0.7500 0.7500 0.7500
0.5000 0.5000 0.5000
```

* DOS at the Fermi energy: 0.70 states/eV/atom


4.
Crystalline LiYBe3 at its relaxed geometry, computed with PBE.

```
LiYBe3
1.0
-4.5001 2.3383 1.2433
-2.3924 -4.6407 0.0684
1.1356 -0.5107 5.0709
Be Y Li
3 1 1
direct
0.0000 0.0000 0.5000
0.0000 0.5000 0.0000
0.5000 0.0000 0.0000
0.0000 0.0000 0.0000
0.5000 0.5000 0.5000
```

* polymorph energy (0 for the lowest one): 1246 meV per atom
* DOS at the Fermi energy: 0.82 states/eV/atom


5.
Crystalline Li2YBe at its relaxed geometry, computed with PBE.

```
Li2YBe
1.0
9.2056 0.0066 0.0039
8.6397 3.1781 0.0039
8.6397 1.5418 2.7790
Y Li Be
1 2 1
direct
0.2500 0.2500 0.2500
0.0185 0.0185 0.0185
0.4815 0.4815 0.4815
0.7500 0.7500 0.7500
```

* DOS at the Fermi energy: 0.73 states/eV/atom


6.
Crystalline Li2YBe at its relaxed geometry, computed with PBE.

```
Li2YBe
1.0
3.3195 0.0000 0.0000
0.0000 3.3186 0.0000
0.0000 0.0000 6.7242
Li Be Y
2 1 1
direct
0.0000 0.0000 0.9305
0.0000 0.0000 0.5695
0.5000 0.5000 0.7500
0.5000 0.5000 0.2500
```

* DOS at the Fermi energy: 0.64 states/eV/atom


7.
Crystalline Li2YBe2 at its relaxed geometry, computed with PBE.

```
Li2YBe2
1.0
7.3992 0.0000 0.0000
0.0000 7.3992 0.0000
0.0000 0.0000 2.8946
Li Be Y
4 4 2
direct
0.1142 0.3858 0.0000
0.6142 0.1142 0.0000
0.3858 0.8858 0.0000
0.8858 0.6142 0.0000
0.1861 0.6861 0.5000
0.3139 0.1861 0.5000
0.8139 0.3139 0.5000
0.6861 0.8139 0.5000
0.5000 0.5000 0.0000
0.0000 0.0000 0.0000
```

* polymorph energy (0 for the lowest one): 27 meV per atom
* DOS at the Fermi energy: 0.59 states/eV/atom


8.
Crystalline LiY2Be at its relaxed geometry, computed with PBE.

```
LiY2Be
1.0
7.4284 -0.5491 -0.3250
6.6808 3.2937 -0.3250
6.6808 1.2996 3.0439
Y Be Li
2 1 1
direct
0.0271 0.0271 0.0271
0.2255 0.2255 0.2255
0.4461 0.4461 0.4461
0.8012 0.8012 0.8012
```

* DOS at the Fermi energy: 0.95 states/eV/atom


So what do the calculations give for energy of formation? Going down the list: 0.30 0.74 0.45 1.66 0.50 0.34 0.31 0.29 eV/atom.